Below is Ce4Rh2N after structural relaxation, with properties calculated at the GGA-PBE level.

Geometry as CIF:
```
data_Ce4Rh2N
_symmetry_space_group_name_H-M 'I 4/m m m'
_symmetry_Int_Tables_number 139
_symmetry_space_group_name_Hall '-I 4 2'
_cell_length_a 4.779
_cell_length_b 4.779
_cell_length_c 14.048
_cell_angle_alpha 90.00
_cell_angle_beta 90.00
_cell_angle_gamma 90.00
loop_
_atom_site_label
_atom_site_fract_x
_atom_site_fract_y
_atom_site_fract_z
Ce1 0.000 0.000 0.184
Ce2 0.000 0.500 0.000
Rh1 0.000 0.000 0.356
N1 0.000 0.000 0.000
```

Energy relative to the elements, uncorrected (eV/f.u.): -5.1
DFT total energy (eV/atom): -7.408



Below is Ce6Rh2N after structural relaxation, with properties calculated at the GGA-PBE level.

Geometry as CIF:
```
data_Ce6Rh2N
_symmetry_space_group_name_H-M 'P 1 21/c 1'
_symmetry_Int_Tables_number 14
_symmetry_space_group_name_Hall '-P 2ybc'
_cell_length_a 6.222
_cell_length_b 7.029
_cell_length_c 11.547
_cell_angle_alpha 90.00
_cell_angle_beta 121.06
_cell_angle_gamma 90.00
loop_
_atom_site_label
_atom_site_fract_x
_atom_site_fract_y
_atom_site_fract_z
Ce1 0.099 0.038 0.237
Ce2 0.216 0.686 0.057
Ce3 0.390 0.164 0.057
Rh1 0.324 0.119 0.749
N1 0.000 0.000 0.000
```

Energy relative to the elements, uncorrected (eV/f.u.): -5.6
DFT total energy (eV/atom): -7.135



Below is SrCe2RhN4 after structural relaxation, with properties calculated at the GGA-PBE level.

Geometry as CIF:
```
data_SrCe2RhN4
_symmetry_space_group_name_H-M 'C m c m'
_symmetry_Int_Tables_number 63
_symmetry_space_group_name_Hall '-C 2c 2'
_cell_length_a 3.635
_cell_length_b 11.792
_cell_length_c 12.311
_cell_angle_alpha 90.00
_cell_angle_beta 90.00
_cell_angle_gamma 90.00
loop_
_atom_site_label
_atom_site_fract_x
_atom_site_fract_y
_atom_site_fract_z
Sr1 0.000 0.081 0.250
Ce1 0.000 0.367 0.052
Rh1 0.000 0.182 0.750
N1 0.000 0.000 0.000
N2 0.000 0.252 0.601
N3 0.000 0.406 0.250
```

Energy relative to the elements, uncorrected (eV/f.u.): -7.2
DFT total energy (eV/atom): -7.674



Below is Tb2CeRhN4 after structural relaxation, with properties calculated at the GGA-PBE level.

Geometry as CIF:
```
data_Tb2CeRhN4
_symmetry_space_group_name_H-M 'C m c m'
_symmetry_Int_Tables_number 63
_symmetry_space_group_name_Hall '-C 2c 2'
_cell_length_a 3.395
_cell_length_b 11.704
_cell_length_c 11.629
_cell_angle_alpha 90.00
_cell_angle_beta 90.00
_cell_angle_gamma 90.00
loop_
_atom_site_label
_atom_site_fract_x
_atom_site_fract_y
_atom_site_fract_z
Tb1 0.000 0.129 0.048
Ce1 0.000 0.386 0.250
Rh1 0.000 0.353 0.750
N1 0.000 0.041 0.250
N2 0.000 0.222 0.631
N3 0.000 0.500 0.000
```

Energy relative to the elements, uncorrected (eV/f.u.): -8.3
DFT total energy (eV/atom): -8.017



- Among the records above, which one has the highest DFT total energy?
  Ce6Rh2N



- What is the DFT total energy in the first record?
  -7.408 eV/atom



Repeat the third record exactly.
Below is SrCe2RhN4 after structural relaxation, with properties calculated at the GGA-PBE level.

Geometry as CIF:
```
data_SrCe2RhN4
_symmetry_space_group_name_H-M 'C m c m'
_symmetry_Int_Tables_number 63
_symmetry_space_group_name_Hall '-C 2c 2'
_cell_length_a 3.635
_cell_length_b 11.792
_cell_length_c 12.311
_cell_angle_alpha 90.00
_cell_angle_beta 90.00
_cell_angle_gamma 90.00
loop_
_atom_site_label
_atom_site_fract_x
_atom_site_fract_y
_atom_site_fract_z
Sr1 0.000 0.081 0.250
Ce1 0.000 0.367 0.052
Rh1 0.000 0.182 0.750
N1 0.000 0.000 0.000
N2 0.000 0.252 0.601
N3 0.000 0.406 0.250
```

Energy relative to the elements, uncorrected (eV/f.u.): -7.2
DFT total energy (eV/atom): -7.674



- Among the records above, which one has the lowest DFT total energy?
  Tb2CeRhN4